1.
Sc3Fe2B9: optimized geometry, PBE.

Computed properties:
The calculation puts the total energy at -101.6 eV/cell.

abc: 7.233 7.233 7.233
angles: 155.04 124.12 62.13
Fractional positions:
Sc 0.000 0.000 0.000
Sc 0.274 0.274 0.000
Sc 0.726 0.726 0.000
Fe 0.322 0.500 0.822
Fe 0.678 0.500 0.178
B 0.007 0.367 0.640
B 0.146 0.877 0.269
B 0.272 0.633 0.640
B 0.391 0.123 0.269
B 0.500 0.000 0.500
B 0.609 0.877 0.731
B 0.728 0.367 0.360
B 0.854 0.123 0.731
B 0.993 0.633 0.360

2.
YTcN3: optimized geometry, PBE.

Computed properties:
The uncorrected formation energy comes out at -0.453 eV per atom. The calculation puts the total energy at -88.1 eV/cell.

abc: 5.406 5.460 5.632
angles: 63.84 87.89 75.72
Fractional positions:
Y 0.000 0.000 0.000
Y 0.485 0.627 0.706
Tc 0.449 0.292 0.353
Tc 0.891 0.384 0.402
N 0.161 0.521 0.064
N 0.199 0.074 0.584
N 0.246 0.313 0.004
N 0.666 0.192 0.680
N 0.723 0.365 0.112
N 0.845 0.711 0.410

3.
Pm2Ho4ErTh: optimized geometry, PBE.

Computed properties:
The calculation puts the total energy at -39.5 eV/cell.

abc: 5.044 5.065 9.991
angles: 90.00 90.06 90.00
Fractional positions:
Pm 0.000 0.000 0.000
Pm 0.500 0.500 0.500
Ho 0.000 0.500 0.248
Ho 0.000 0.500 0.752
Ho 0.500 0.000 0.248
Ho 0.500 0.000 0.752
Er 0.000 0.000 0.500
Th 0.500 0.500 0.000